[1]
8
Lattice="4.4265 0.0000 0.0000 -2.2132 3.8334 0.0000 0.0000 0.0000 14.6077" Properties=species:S:1:pos:R:3 comment="PmDySb2 (PBE, relaxed)" space_group=P6_3/mmc dos_ef_per_ev_atom=0.1885 relative_energy_mev_per_atom=56.8 pbc="T T T"
Pm 2.2132 1.2778 3.6519
Pm 0.0000 2.5556 10.9558
Dy 0.0000 0.0000 7.3039
Dy 0.0000 0.0000 0.0000
Sb 0.0000 2.5556 5.5582
Sb 2.2132 1.2778 12.8621
Sb 2.2132 1.2778 9.0495
Sb 0.0000 2.5556 1.7456


[2]
10
Lattice="-6.4119 3.4606 -3.2922 -2.9730 -0.9964 7.3549 4.7721 3.7383 0.0236" Properties=species:S:1:pos:R:3 comment="PmDy2Sb2 (PBE, relaxed)" space_group=C2/c dos_ef_per_ev_atom=0.9678 pbc="T T T"
Pm -3.9705 5.3140 1.4829
Pm -0.6423 0.8884 2.6034
Dy -1.7034 1.8062 6.0281
Dy -4.7538 0.7981 3.9595
Dy -2.9093 4.3962 -1.9418
Dy 0.1411 5.4044 0.1268
Sb 1.4866 3.0909 1.8188
Sb -1.5796 2.1032 -0.2985
Sb -3.0332 4.0992 4.3848
Sb -6.0993 3.1115 2.2675


Table of final energy (eV/atom), in record order: -5.50, -5.10
Table of energy relative to the elements, uncorrected (eV/atom), in record order: -1.10, -0.66